Record 1
{"formula": "CdTe2As", "functional": "PBE", "state": "relaxed", "cell": [[-4.935, 5.491, 0.440], [-6.892, 1.946, 1.849], [-4.251, 4.111, 4.442]], "species": ["Cd", "Te", "As", "Te"], "fractional_positions": [[0.750, 0.750, 0.750], [0.995, 0.995, 0.995], [0.250, 0.250, 0.250], [0.505, 0.505, 0.505]], "spacegroup": "R-3m, No. 166", "e_form_raw_ev_per_atom": -0.078, "final_energy_ev_per_cell": -12.2, "polymorph_energy_ev_per_atom": 0.003}

---

Record 2
{"formula": "KZr2Re", "functional": "PBE", "state": "relaxed", "cell": [[4.897, 0.000, 0.000], [0.000, 4.899, 0.000], [0.000, 0.000, 3.562]], "species": ["K", "Zr", "Re", "Zr"], "fractional_positions": [[0.500, 0.000, 0.500], [0.000, 0.000, 0.000], [0.000, 0.500, 0.500], [0.500, 0.500, 0.000]], "spacegroup": "P4/mmm, No. 123", "ef_ev_per_atom": 1.027, "final_energy_ev_per_cell": -26.5, "polymorph_energy_ev_per_atom": 0.833}

---

Record 3
{"formula": "LiTlHgBi", "functional": "PBE", "state": "relaxed", "cell": [[3.442, 0.000, 0.000], [0.000, 3.442, 0.000], [0.000, 0.000, 8.753]], "species": ["Bi", "Hg", "Li", "Tl"], "fractional_positions": [[0.500, 0.500, 0.366], [0.500, 0.500, 0.775], [0.000, 0.000, 0.586], [0.000, 0.000, 0.057]], "spacegroup": "P4mm, No. 99", "ef_ev_per_atom": -0.180, "final_energy_ev_per_cell": -9.2, "polymorph_energy_ev_per_atom": 0.000}

---

Record 4
{"formula": "Ce2NdPt", "functional": "PBE", "state": "relaxed", "cell": [[-1.911, -3.519, -4.625], [9.358, 0.083, -3.930], [3.274, -11.699, 7.548]], "species": ["Ce", "Pt", "Nd", "Pt", "Ce", "Ce", "Ce", "Pt", "Nd", "Ce", "Ce", "Pt", "Ce", "Nd", "Nd", "Ce", "Pt", "Pt", "Ce", "Nd", "Ce", "Ce", "Nd", "Ce", "Nd", "Pt", "Nd", "Pt", "Ce", "Ce", "Ce", "Ce"], "fractional_positions": [[0.437, 0.446, 0.713], [0.524, 0.750, 0.431], [0.548, 0.250, 0.141], [0.024, 0.250, 0.069], [0.249, 0.049, 0.465], [0.437, 0.054, 0.713], [0.749, 0.951, 0.035], [0.221, 0.250, 0.824], [0.735, 0.250, 0.894], [0.563, 0.554, 0.287], [0.563, 0.946, 0.287], [0.476, 0.250, 0.569], [0.751, 0.549, 0.535], [0.235, 0.750, 0.606], [0.265, 0.750, 0.106], [0.249, 0.451, 0.465], [0.779, 0.750, 0.176], [0.279, 0.250, 0.324], [0.937, 0.554, 0.787], [0.765, 0.250, 0.394], [0.251, 0.049, 0.965], [0.937, 0.946, 0.787], [0.952, 0.250, 0.641], [0.063, 0.054, 0.213], [0.048, 0.750, 0.359], [0.721, 0.750, 0.676], [0.452, 0.750, 0.859], [0.976, 0.750, 0.931], [0.251, 0.451, 0.965], [0.751, 0.951, 0.535], [0.749, 0.549, 0.035], [0.063, 0.446, 0.213]], "spacegroup": "Pnma, No. 62", "ef_ev_per_atom": -0.535, "final_energy_ev_per_cell": -198.5, "polymorph_energy_ev_per_atom": 0.000}

---

Record 5
{"formula": "LaPmCu", "functional": "PBE", "state": "relaxed", "cell": [[-3.279, -1.108, 3.642], [-3.878, -3.049, -0.953], [-0.104, -4.623, 1.966]], "species": ["Cu", "La", "Pm"], "fractional_positions": [[0.250, 0.250, 0.250], [0.000, 0.000, 0.000], [0.500, 0.500, 0.500]], "spacegroup": "F-43m, No. 216", "ef_ev_per_atom": 0.113, "final_energy_ev_per_cell": -13.4, "polymorph_energy_ev_per_atom": 0.207}

---

Record 6
{"formula": "VAsRu", "functional": "PBE", "state": "relaxed", "cell": [[-0.748, -0.146, -2.776], [-2.273, -1.621, 0.698], [-1.976, 6.059, 1.706]], "species": ["Ru", "As", "V"], "fractional_positions": [[0.422, 0.422, 0.844], [0.618, 0.618, 0.236], [0.810, 0.810, 0.619]], "spacegroup": "I4mm, No. 107", "ef_ev_per_atom": 0.100, "final_energy_ev_per_cell": -22.7}

---

Record 7
{"formula": "Ta3InW", "functional": "PBE", "state": "relaxed", "cell": [[-3.858, -0.410, 2.975], [-0.080, -4.827, -0.769], [3.002, -0.655, 3.803]], "species": ["Ta", "Ta", "W", "In", "Ta"], "fractional_positions": [[0.000, 0.500, 0.000], [0.500, 0.000, 0.000], [0.000, 0.000, 0.000], [0.500, 0.500, 0.500], [0.000, 0.000, 0.500]], "spacegroup": "Pm-3m, No. 221", "ef_ev_per_atom": 1.366, "final_energy_ev_per_cell": -44.4, "polymorph_energy_ev_per_atom": 0.000}

---

Record 8
{"formula": "Pm10SmTh4", "functional": "PBE", "state": "relaxed", "cell": [[9.869, 0.000, 4.456], [4.935, 6.950, 2.228], [2.074, 0.000, 8.563]], "species": ["Pm", "Th", "Pm", "Pm", "Pm", "Pm", "Sm", "Pm", "Th", "Pm", "Pm", "Th", "Pm", "Pm", "Th"], "fractional_positions": [[0.225, 0.328, 0.908], [0.942, 0.393, 0.724], [0.775, 0.672, 0.092], [0.250, 0.500, 0.500], [0.868, 0.908, 0.672], [0.461, 0.672, 0.092], [0.000, 0.000, 0.000], [0.539, 0.328, 0.908], [0.335, 0.724, 0.607], [0.750, 0.500, 0.500], [0.553, 0.908, 0.672], [0.665, 0.276, 0.393], [0.132, 0.092, 0.328], [0.447, 0.092, 0.328], [0.058, 0.607, 0.276]], "spacegroup": "I4/m, No. 87", "ef_ev_per_atom": 0.355, "final_energy_ev_per_cell": -76.6}